DFT (PBE) results for crystalline AcNd2Cu6 at its relaxed geometry.

Results
Raw total energy: -4.45 eV/atom
Total moment: 0.00 μB per cell

a = 12.969 Å, b = 7.493 Å, c = 3.867 Å
α = 90.00°, β = 90.07°, γ = 90.00°
Space group C2/m (No. 12)
Unique sites:
Ac1 0.000 0.000 0.000
Nd1 0.167 0.500 0.000
Cu1 0.000 0.336 0.500
Cu2 0.168 0.168 0.500